# 1
First-principles (GGA-PBE) data for a geometry-optimized BaLi5Tl2 structure, as listed in Alexandria via LeMat-Bulk.

Output
Formation energy from the elements ... -166 meV/atom
D(E_F) ... 4.15 states/eV per cell
Symmetry ... Immm, No. 71

Cell lengths 7.315, 7.315, 7.315 Å; angles 143.24, 111.35, 80.49 degrees
Element x y z (fractional)
Ba (0.000, 0.000, 0.000)
Li (0.165, 0.343, 0.822)
Li (0.479, 0.657, 0.822)
Li (0.500, 0.000, 0.500)
Li (0.521, 0.343, 0.178)
Li (0.835, 0.657, 0.178)
Tl (0.250, 0.750, 0.500)
Tl (0.750, 0.250, 0.500)

***

# 2
First-principles (GGA-PBE) data for a geometry-optimized Zr4PaN6 structure, as listed in Alexandria via LeMat-Bulk.

Output
Energy relative to the elements, uncorrected ... -17.99 eV/f.u.
D(E_F) ... 6.29 states/eV per cell
Symmetry ... Cmcm, No. 63

Cell lengths 5.620, 5.620, 16.147 Å; angles 90.00, 90.00, 146.30 degrees
Element x y z (fractional)
Zr (0.097, 0.903, 0.631)
Zr (0.097, 0.903, 0.869)
Zr (0.362, 0.638, 0.546)
Zr (0.362, 0.638, 0.954)
Zr (0.638, 0.362, 0.046)
Zr (0.638, 0.362, 0.454)
Zr (0.903, 0.097, 0.131)
Zr (0.903, 0.097, 0.369)
Pa (0.159, 0.841, 0.250)
Pa (0.841, 0.159, 0.750)
N (0.000, 0.000, 0.000)
N (0.000, 0.000, 0.500)
N (0.196, 0.804, 0.750)
N (0.268, 0.732, 0.089)
N (0.268, 0.732, 0.411)
N (0.457, 0.543, 0.666)
N (0.457, 0.543, 0.834)
N (0.543, 0.457, 0.166)
N (0.543, 0.457, 0.334)
N (0.732, 0.268, 0.589)
N (0.732, 0.268, 0.911)
N (0.804, 0.196, 0.250)

***

# 3
First-principles (GGA-PBE) data for a geometry-optimized Ho3SBr7 structure, as listed in Alexandria via LeMat-Bulk.

Output
Energy relative to the elements, uncorrected ... -20.75 eV/f.u.
D(E_F) ... 0.00 states/eV per cell
Symmetry ... P3m1, No. 156

Cell lengths 8.191, 8.191, 7.006 Å; angles 90.00, 90.00, 120.00 degrees
Element x y z (fractional)
Ho (0.015, 0.507, 0.000)
Ho (0.493, 0.507, 0.000)
Ho (0.493, 0.985, 0.000)
S (0.333, 0.667, 0.808)
Br (0.171, 0.342, 0.234)
Br (0.171, 0.829, 0.234)
Br (0.346, 0.173, 0.786)
Br (0.658, 0.829, 0.234)
Br (0.667, 0.333, 0.236)
Br (0.827, 0.173, 0.786)
Br (0.827, 0.654, 0.786)

***

# 4
First-principles (GGA-PBE) data for a geometry-optimized Na2Np2AsS2 structure, as listed in Alexandria via LeMat-Bulk.

Output
Energy relative to the elements, uncorrected ... -3.64 eV/f.u.
D(E_F) ... 15.89 states/eV per cell
Symmetry ... I4/mmm, No. 139

Cell lengths 8.119, 8.119, 8.119 Å; angles 141.29, 141.29, 55.90 degrees
Element x y z (fractional)
Na (0.204, 0.204, 0.000)
Na (0.796, 0.796, 0.000)
Np (0.000, 0.500, 0.500)
Np (0.500, 0.000, 0.500)
As (0.000, 0.000, 0.000)
S (0.391, 0.391, 0.000)
S (0.609, 0.609, 0.000)

***

# 5
First-principles (GGA-PBE) data for a geometry-optimized ZrTiAs2Se structure, as listed in Alexandria via LeMat-Bulk.

Output
Energy relative to the elements, uncorrected ... -0.31 eV/f.u.
D(E_F) ... 3.17 states/eV per cell
Energy relative to the lowest polymorph listed for this composition ... 0 meV per atom
Symmetry ... P4/mmm, No. 123

Cell lengths 4.851, 4.851, 4.798 Å; angles 90.00, 90.00, 90.00 degrees
Element x y z (fractional)
Zr (0.000, 0.000, 0.000)
Ti (0.500, 0.500, 0.500)
As (0.000, 0.500, 0.500)
As (0.500, 0.000, 0.500)
Se (0.500, 0.500, 0.000)

***

# 6
First-principles (GGA-PBE) data for a geometry-optimized SrLi2ScPb structure, as listed in Alexandria via LeMat-Bulk.

Output
Formation energy from the elements ... 359 meV/atom
D(E_F) ... 3.14 states/eV per cell
Symmetry ... P4/mmm, No. 123

Cell lengths 5.250, 5.250, 6.282 Å; angles 90.00, 90.00, 90.00 degrees
Element x y z (fractional)
Sr (0.000, 0.000, 0.000)
Li (0.000, 0.500, 0.500)
Li (0.500, 0.000, 0.500)
Sc (0.500, 0.500, 0.000)
Pb (0.000, 0.000, 0.500)

***

# 7
First-principles (GGA-PBE) data for a geometry-optimized Na2NpI8 structure, as listed in Alexandria via LeMat-Bulk.

Output
Energy relative to the elements, uncorrected ... -8.27 eV/f.u.
D(E_F) ... 10.05 states/eV per cell
Symmetry ... C2/m, No. 12

Cell lengths 9.179, 9.179, 6.684 Å; angles 99.57, 99.57, 88.45 degrees
Element x y z (fractional)
Na (0.209, 0.209, 0.085)
Na (0.791, 0.791, 0.915)
Np (0.500, 0.500, 0.000)
I (0.003, 0.003, 0.255)
I (0.237, 0.565, 0.198)
I (0.312, 0.312, 0.662)
I (0.435, 0.763, 0.802)
I (0.565, 0.237, 0.198)
I (0.688, 0.688, 0.338)
I (0.763, 0.435, 0.802)
I (0.997, 0.997, 0.745)

***

# 8
First-principles (GGA-PBE) data for a geometry-optimized TcPb2Se structure, as listed in Alexandria via LeMat-Bulk.

Output
Energy relative to the elements, uncorrected ... 0.04 eV/f.u.
D(E_F) ... 1.82 states/eV per cell
Energy relative to the lowest polymorph listed for this composition ... 0 meV per atom
Symmetry ... R3m, No. 160

Cell lengths 10.100, 10.100, 10.100 Å; angles 19.11, 19.11, 19.11 degrees
Element x y z (fractional)
Tc (0.000, 0.000, 0.000)
Pb (0.257, 0.257, 0.257)
Pb (0.489, 0.489, 0.489)
Se (0.717, 0.717, 0.717)